! Be2CrBiO8 | the Alexandria database | PBE+U | optimized geometry; values from VASP
&SYSTEM
  ibrav = 0, nat = 12, ntyp = 4
/
ATOMIC_SPECIES
O 16.00 O.upf
Be 9.01 Be.upf
Bi 208.98 Bi.upf
Cr 52.00 Cr.upf
CELL_PARAMETERS angstrom
5.274 0.000 0.000
-2.637 4.567 0.000
0.000 0.000 5.932
ATOMIC_POSITIONS crystal
O 0.667 0.333 0.841
O 0.118 0.789 0.798
O 0.789 0.671 0.202
O 0.882 0.211 0.202
Be 0.667 0.333 0.124
O 0.329 0.118 0.202
O 0.671 0.882 0.798
O 0.333 0.667 0.159
Bi 0.000 0.000 0.500
Be 0.333 0.667 0.876
O 0.211 0.329 0.798
Cr 0.000 0.000 0.000
! Total DFT energy (no corrections) = -5.917 eV/atom